This record from Alexandria via LeMat-Bulk describes crystalline MgBMo3 at its relaxed geometry. The functional is PBEsol.

Summary:
N(E_F) (states/eV/f.u.): 4.76
E_form (eV/atom): 0.35

a b c (Å): 4.205 4.205 4.205
angles (deg): 90.00 90.00 90.00
Fractional positions:
Mo 0.000 0.500 0.000
Mo 0.000 0.000 0.500
Mo 0.500 0.000 0.000
B 0.000 0.000 0.000
Mg 0.500 0.500 0.500